Entry 1:
Material: AcPdF5
Method: DFT, GGA-PBE
State: relaxed

Values from the calculation:
- energy relative to the elements, uncorrected (kcal/mol of atoms) = -65.78

Cell lengths 6.2246, 7.1843, 4.8354 Å; angles 90.00, 97.46, 90.00 degrees
Last column: nearest neighbours and their distance in Å.
Space group C2/m (No. 12)
One atom of each set of equivalent atoms:
Ac 0.0000 0.0000 0.0000 [2 per cell]  6 F 2.42-2.67
Pd 0.0000 0.5000 0.5000 [2 per cell]  4 F 2.01
F 0.0000 0.0000 0.5000 [2 per cell]  2 Ac 2.42
F 0.1433 0.3181 0.7817 [8 per cell]  1 Pd 2.01


Entry 2:
Material: Hg8SbI3
Method: DFT, GGA-PBE
State: relaxed

Values from the calculation:
- DOS at the Fermi energy (states/eV per atom) = 0.189
- energy relative to the elements, uncorrected (kcal/mol of atoms) = 0.59

Cell lengths 7.7611, 7.7611, 7.7611 Å; angles 90.00, 90.00, 90.00 degrees
Last column: nearest neighbours and their distance in Å.
Space group Pm-3m (No. 221)
One atom of each set of equivalent atoms:
Hg 0.2293 0.2293 0.2293 [8 per cell]  1 Sb 3.08
Sb 0.0000 0.0000 0.0000 [1 per cell]  8 Hg 3.08
I 0.0000 0.5000 0.5000 [3 per cell]  8 Hg 3.46


Entry 3:
Material: Si2RhAu
Method: DFT, GGA-PBE
State: relaxed

Values from the calculation:
- DOS at the Fermi energy (states/eV per atom) = 0.398
- energy relative to the elements, uncorrected (kcal/mol of atoms) = -4.33

Cell lengths 2.9639, 2.9639, 23.7583 Å; angles 90.00, 90.00, 120.00 degrees
Last column: nearest neighbours and their distance in Å.
Space group R-3m (No. 166, hexagonal axes)
One atom of each set of equivalent atoms:
Si 0.0000 0.0000 0.2438 [6 per cell]  3 Rh 2.51, 3 Au 2.73
Rh 0.0000 0.0000 0.5000 [3 per cell]  6 Si 2.51
Au 0.0000 0.0000 0.0000 [3 per cell]  6 Si 2.73, 6 Au 2.96


Entry 4:
Material: Pm2DyY7
Method: DFT, GGA-PBE
State: relaxed

Values from the calculation:
- DOS at the Fermi energy (states/eV per atom) = 1.612
- formation enthalpy at 0 K (eV/f.u.) = 1.62

Cell lengths 6.5330, 29.0172, 3.5299 Å; angles 90.00, 90.00, 90.00 degrees
Last column: nearest neighbours and their distance in Å.
Space group Cmmm (No. 65)
One atom of each set of equivalent atoms:
Pm 0.0000 0.2076 0.0000 [4 per cell]  2 Pm 3.53, 8 Y 3.55-3.77
Dy 0.0000 0.5000 0.5000 [2 per cell]  2 Dy 3.53, 12 Y 3.71-3.72
Y 0.0000 0.0000 0.0000 [2 per cell]  6 Y 3.30-3.53
Y 0.0000 0.3139 0.5000 [4 per cell]  6 Y 3.49-3.53, 6 Pm 3.55-3.77
Y 0.2459 0.4018 0.0000 [8 per cell]  7 Y 3.21-3.53, 1 Pm 3.58


Entry 5:
Material: AcMgHg4
Method: DFT, GGA-PBE
State: relaxed

Values from the calculation:
- DOS at the Fermi energy (states/eV per atom) = 0.513
- formation enthalpy at 0 K (eV/f.u.) = -0.99

Cell lengths 8.6737, 8.6737, 8.6737 Å; angles 90.00, 90.00, 90.00 degrees
Last column: nearest neighbours and their distance in Å.
Space group F-43m (No. 216)
One atom of each set of equivalent atoms:
Ac 0.0000 0.0000 0.0000 [4 per cell]  12 Hg 3.60, 4 Mg 3.76
Mg 0.2500 0.2500 0.2500 [4 per cell]  12 Hg 3.60, 4 Ac 3.76
Hg 0.1247 0.1247 0.6247 [16 per cell]  6 Hg 3.06-3.07


Entry 6:
Material: NdGa2SiPd
Method: DFT, GGA-PBE
State: relaxed

Values from the calculation:
- DOS at the Fermi energy (states/eV per atom) = 0.266
- energy relative to the elements, uncorrected (kcal/mol of atoms) = -16.38

Cell lengths 4.1585, 4.1942, 10.6974 Å; angles 90.00, 90.00, 90.00 degrees
Last column: nearest neighbours and their distance in Å.
Space group Imm2 (No. 44)
One atom of each set of equivalent atoms:
Nd 0.0000 0.0000 0.0000 [2 per cell]  4 Si 3.20, 8 Ga 3.20-3.40, 4 Pd 3.30-3.49
Ga 0.0000 0.0000 0.3857 [2 per cell]  1 Si 2.44, 2 Ga 2.55, 2 Pd 2.60
Ga 0.0000 0.5000 0.2500 [2 per cell]  2 Si 2.54, 2 Ga 2.55
Si 0.0000 0.0000 0.6140 [2 per cell]  3 Ga 2.44-2.54, 2 Pd 2.49
Pd 0.0000 0.5000 0.7393 [2 per cell]  2 Si 2.49, 2 Ga 2.60


Across the entries above, DFT total energy takes the values -77.3, -10.9, -66.7, -115.5, -31.6, -50.0 eV/cell, respectively.
Across the entries above, size of the total moment takes the values 0.000, 0.000, 0.000, 0.000, 0.000, 0.000 μB/atom, respectively.